(1)
A plane-wave DFT calculation with PBE-GGA was carried out for a relaxed PrYSi3Au crystal.

volume	20.9	Å³/atom
energy relative to the lowest polymorph listed for this composition	0.0	kJ/mol of atoms
symmetry	Fmmm

abc: 8.338 8.271 5.909
angles: 69.77 68.56 41.68
Element x y z (fractional)
Pr: 0.244 0.756 0.244
Pr: 0.756 0.244 0.756
Y: 0.250 0.250 0.250
Y: 0.750 0.750 0.750
Si: 0.164 0.164 0.836
Si: 0.165 0.670 0.835
Si: 0.330 0.835 0.670
Si: 0.670 0.165 0.330
Si: 0.835 0.330 0.165
Si: 0.836 0.836 0.164
Au: 0.331 0.331 0.669
Au: 0.669 0.669 0.331



(2)
A plane-wave DFT calculation with PBE-GGA was carried out for a relaxed PrY2Si4Au4 crystal.

volume	20.4	Å³/atom
E	-0.202	Ha/atom
symmetry	Immm

abc: 12.931 12.931 12.931
angles: 161.32 161.07 26.72
Element x y z (fractional)
Pr: 0.000 0.000 0.000
Y: 0.352 0.852 0.500
Y: 0.648 0.148 0.500
Si: 0.191 0.691 0.500
Si: 0.453 0.453 0.000
Si: 0.547 0.547 0.000
Si: 0.809 0.309 0.500
Au: 0.096 0.596 0.500
Au: 0.252 0.252 0.000
Au: 0.748 0.748 0.000
Au: 0.904 0.404 0.500



(3)
A plane-wave DFT calculation with PBE-GGA was carried out for a relaxed Pr3Zn2Si4Au2 crystal.

volume	20.8	Å³/atom
energy relative to the lowest polymorph listed for this composition	0.0	kJ/mol of atoms
symmetry	Immm

abc: 12.954 12.954 12.954
angles: 161.21 160.96 26.87
Element x y z (fractional)
Pr: 0.000 0.000 0.000
Pr: 0.352 0.852 0.500
Pr: 0.648 0.148 0.500
Zn: 0.250 0.250 0.000
Zn: 0.750 0.750 0.000
Si: 0.193 0.693 0.500
Si: 0.453 0.453 0.000
Si: 0.547 0.547 0.000
Si: 0.807 0.307 0.500
Au: 0.096 0.596 0.500
Au: 0.904 0.404 0.500



(4)
A plane-wave DFT calculation with PBE-GGA was carried out for a relaxed Pr2ZnSi2Au crystal.

volume	22.4	Å³/atom
E	-0.179	Ha/atom
symmetry	P-6m2

abc: 4.267 4.267 8.538
angles: 90.00 90.00 120.00
Element x y z (fractional)
Pr: 0.000 0.000 0.249
Pr: 0.000 0.000 0.751
Zn: 0.333 0.667 0.500
Si: 0.333 0.667 0.000
Si: 0.667 0.333 0.500
Au: 0.667 0.333 0.000



(5)
A plane-wave DFT calculation with PBE-GGA was carried out for a relaxed Pr3Zn2Si4Au2 crystal.

volume	20.7	Å³/atom
energy relative to the lowest polymorph listed for this composition	3.5	kJ/mol of atoms
symmetry	Immm

abc: 12.797 12.797 12.797
angles: 160.89 160.66 27.32
Element x y z (fractional)
Pr: 0.000 0.000 0.000
Pr: 0.146 0.646 0.500
Pr: 0.854 0.354 0.500
Zn: 0.405 0.905 0.500
Zn: 0.595 0.095 0.500
Si: 0.309 0.809 0.500
Si: 0.452 0.452 0.000
Si: 0.548 0.548 0.000
Si: 0.691 0.191 0.500
Au: 0.250 0.250 0.000
Au: 0.750 0.750 0.000



(6)
A plane-wave DFT calculation with PBE-GGA was carried out for a relaxed PrSmAu2 crystal.

volume	26.1	Å³/atom
formation energy from the elements	-816	meV per atom
symmetry	Pmc2_1

abc: 4.800 5.837 7.446
angles: 90.00 90.00 90.00
Element x y z (fractional)
Pr: 0.000 0.107 0.000
Pr: 0.000 0.893 0.500
Sm: 0.500 0.393 0.369
Sm: 0.500 0.607 0.869
Au: 0.000 0.400 0.644
Au: 0.000 0.600 0.144
Au: 0.500 0.102 0.725
Au: 0.500 0.898 0.225



(7)
A plane-wave DFT calculation with PBE-GGA was carried out for a relaxed PrSmAu crystal.

volume	29.1	Å³/atom
formation energy from the elements	74	meV per atom
symmetry	F-43m

abc: 4.977 4.977 4.977
angles: 60.00 60.00 60.00
Element x y z (fractional)
Pr: 0.000 0.000 0.000
Sm: 0.750 0.750 0.750
Au: 0.500 0.500 0.500



(8)
A plane-wave DFT calculation with PBE-GGA was carried out for a relaxed PrSmAu2 crystal.

volume	25.9	Å³/atom
formation energy from the elements	-814	meV per atom
symmetry	Amm2

abc: 4.774 5.951 5.951
angles: 37.75 90.00 90.00
Element x y z (fractional)
Pr: 0.000 0.000 0.000
Sm: 0.500 0.724 0.724
Au: 0.000 0.274 0.274
Au: 0.500 0.448 0.448



(9)
A plane-wave DFT calculation with PBE-GGA was carried out for a relaxed PrSmAu4 crystal.

volume	22.7	Å³/atom
formation energy from the elements	-761	meV per atom
symmetry	Imm2

abc: 5.911 5.911 5.911
angles: 133.43 106.75 91.39
Element x y z (fractional)
Pr: 0.000 0.000 0.000
Sm: 0.421 0.921 0.500
Au: 0.013 0.297 0.716
Au: 0.411 0.623 0.788
Au: 0.581 0.297 0.284
Au: 0.836 0.623 0.212



(10)
A plane-wave DFT calculation with PBE-GGA was carried out for a relaxed PrSmSn2Au4 crystal.

volume	23.6	Å³/atom
E	-0.166	Ha/atom
symmetry	P-6m2

abc: 4.772 4.772 9.590
angles: 90.00 90.00 120.00
Element x y z (fractional)
Pr: 0.000 0.000 0.000
Sm: 0.667 0.333 0.500
Sn: 0.333 0.667 0.251
Sn: 0.333 0.667 0.749
Au: 0.000 0.000 0.351
Au: 0.000 0.000 0.649
Au: 0.667 0.333 0.154
Au: 0.667 0.333 0.846



(11)
A plane-wave DFT calculation with PBE-GGA was carried out for a relaxed PrSmTe3Au crystal.

volume	29.6	Å³/atom
E	-0.176	Ha/atom
symmetry	Cmcm

abc: 7.802 7.802 11.215
angles: 90.00 90.00 148.67
Element x y z (fractional)
Pr: 0.000 0.000 0.000
Pr: 0.000 0.000 0.500
Sm: 0.225 0.775 0.750
Sm: 0.775 0.225 0.250
Te: 0.109 0.891 0.250
Te: 0.345 0.655 0.059
Te: 0.345 0.655 0.441
Te: 0.655 0.345 0.559
Te: 0.655 0.345 0.941
Te: 0.891 0.109 0.750
Au: 0.469 0.531 0.250
Au: 0.531 0.469 0.750



(12)
A plane-wave DFT calculation with PBE-GGA was carried out for a relaxed PrSn2Au2 crystal.

volume	24.8	Å³/atom
E	-0.161	Ha/atom
symmetry	I4/mmm

abc: 6.961 6.961 6.961
angles: 142.54 142.54 54.02
Element x y z (fractional)
Pr: 0.000 0.000 0.000
Sn: 0.250 0.750 0.500
Sn: 0.750 0.250 0.500
Au: 0.393 0.393 0.000
Au: 0.607 0.607 0.000



(13)
A plane-wave DFT calculation with PBE-GGA was carried out for a relaxed Pr3Sn5Au6 crystal.

volume	23.4	Å³/atom
E	-0.164	Ha/atom
symmetry	Pmmn

abc: 4.609 13.652 10.424
angles: 90.00 90.00 90.00
Element x y z (fractional)
Pr: 0.250 0.065 0.245
Pr: 0.250 0.435 0.245
Pr: 0.250 0.750 0.245
Pr: 0.750 0.250 0.755
Pr: 0.750 0.565 0.755
Pr: 0.750 0.935 0.755
Sn: 0.250 0.087 0.879
Sn: 0.250 0.413 0.879
Sn: 0.250 0.609 0.524
Sn: 0.250 0.750 0.773
Sn: 0.250 0.891 0.524
Sn: 0.750 0.109 0.476
Sn: 0.750 0.250 0.227
Sn: 0.750 0.391 0.476
Sn: 0.750 0.587 0.121
Sn: 0.750 0.913 0.121
Au: 0.250 0.088 0.621
Au: 0.250 0.250 0.040
Au: 0.250 0.250 0.439
Au: 0.250 0.412 0.621
Au: 0.250 0.605 0.975
Au: 0.250 0.895 0.975
Au: 0.750 0.105 0.025
Au: 0.750 0.395 0.025
Au: 0.750 0.588 0.379
Au: 0.750 0.750 0.561
Au: 0.750 0.750 0.960
Au: 0.750 0.912 0.379



(14)
A plane-wave DFT calculation with PBE-GGA was carried out for a relaxed Tb2PrSn4Au4 crystal.

volume	23.8	Å³/atom
E	-0.169	Ha/atom
symmetry	Immm

abc: 8.904 8.904 8.904
angles: 150.28 131.00 58.36
Element x y z (fractional)
Tb: 0.129 0.129 0.000
Tb: 0.871 0.871 0.000
Pr: 0.500 0.000 0.500
Sn: 0.192 0.500 0.692
Sn: 0.283 0.783 0.500
Sn: 0.717 0.217 0.500
Sn: 0.808 0.500 0.308
Au: 0.131 0.332 0.798
Au: 0.466 0.668 0.798
Au: 0.534 0.332 0.202
Au: 0.869 0.668 0.202



(15)
A plane-wave DFT calculation with PBE-GGA was carried out for a relaxed PrY2Sn4Au4 crystal.

volume	23.9	Å³/atom
E	-0.181	Ha/atom
symmetry	Immm

abc: 8.910 8.910 8.910
angles: 150.30 131.03 58.33
Element x y z (fractional)
Pr: 0.000 0.000 0.000
Y: 0.371 0.871 0.500
Y: 0.629 0.129 0.500
Sn: 0.217 0.217 0.000
Sn: 0.308 0.500 0.808
Sn: 0.692 0.500 0.192
Sn: 0.783 0.783 0.000
Au: 0.034 0.332 0.702
Au: 0.370 0.668 0.702
Au: 0.630 0.332 0.298
Au: 0.966 0.668 0.298



(16)
A plane-wave DFT calculation with PBE-GGA was carried out for a relaxed Pr2ZnSnAu4 crystal.

volume	23.1	Å³/atom
E	-0.153	Ha/atom
symmetry	P-3m1

abc: 4.739 4.739 9.512
angles: 90.00 90.00 120.00
Element x y z (fractional)
Pr: 0.333 0.667 0.252
Pr: 0.667 0.333 0.748
Zn: 0.000 0.000 0.500
Sn: 0.000 0.000 0.000
Au: 0.333 0.667 0.576
Au: 0.333 0.667 0.895
Au: 0.667 0.333 0.105
Au: 0.667 0.333 0.424



(17)
A plane-wave DFT calculation with PBE-GGA was carried out for a relaxed SrPrAu crystal.

volume	34.2	Å³/atom
energy relative to the lowest polymorph listed for this composition	0.0	kJ/mol of atoms
symmetry	F-43m

abc: 5.256 5.256 5.256
angles: 60.00 60.00 60.00
Element x y z (fractional)
Sr: 0.000 0.000 0.000
Pr: 0.500 0.500 0.500
Au: 0.750 0.750 0.750



(18)
A plane-wave DFT calculation with PBE-GGA was carried out for a relaxed Sr2PrAu2 crystal.

volume	31.6	Å³/atom
energy relative to the lowest polymorph listed for this composition	0.0	kJ/mol of atoms
symmetry	I4/mmm

abc: 7.603 7.603 7.603
angles: 143.03 143.03 53.27
Element x y z (fractional)
Sr: 0.250 0.750 0.500
Sr: 0.750 0.250 0.500
Pr: 0.000 0.000 0.000
Au: 0.400 0.400 0.000
Au: 0.600 0.600 0.000



(19)
A plane-wave DFT calculation with PBE-GGA was carried out for a relaxed Sr2PrAu2 crystal.

volume	33.0	Å³/atom
energy relative to the lowest polymorph listed for this composition	16.9	kJ/mol of atoms
symmetry	I4/mmm

abc: 6.765 6.765 6.765
angles: 132.53 132.53 69.39
Element x y z (fractional)
Sr: 0.151 0.151 0.000
Sr: 0.849 0.849 0.000
Pr: 0.500 0.500 0.000
Au: 0.250 0.750 0.500
Au: 0.750 0.250 0.500



(20)
A plane-wave DFT calculation with PBE-GGA was carried out for a relaxed SrPrAu4 crystal.

volume	23.9	Å³/atom
E	-0.147	Ha/atom
symmetry	Imm2

abc: 6.012 6.012 6.012
angles: 133.54 105.48 92.53
Element x y z (fractional)
Sr: 0.000 0.000 0.000
Pr: 0.424 0.924 0.500
Au: 0.017 0.298 0.719
Au: 0.420 0.625 0.795
Au: 0.579 0.298 0.281
Au: 0.830 0.625 0.205